# 1
VASP calculation (PBE-GGA) on crystalline Tb5ErIn8 at its relaxed geometry.

Structure (POSCAR):
```
Tb5ErIn8
1.0
-4.607 4.607 4.577
4.607 -4.607 4.577
4.607 4.607 -4.577
Tb Er In
5 1 8
Direct
0.000 0.000 0.000
0.252 0.128 0.630
0.378 0.748 0.876
0.498 0.622 0.370
0.872 0.502 0.124
0.750 0.250 0.500
0.119 0.374 0.916
0.121 0.374 0.417
0.296 0.879 0.253
0.458 0.203 0.084
0.626 0.043 0.747
0.626 0.542 0.745
0.797 0.881 0.255
0.957 0.704 0.583
```

calculated formation energy: -339 meV per atom
space group: No. 82
calculated total energy: -3.88 eV per atom

# 2
VASP calculation (PBE-GGA) on crystalline CsSr3Sn at its relaxed geometry.

Structure (POSCAR):
```
CsSr3Sn
1.0
6.125 0.000 0.000
0.000 6.125 0.000
0.000 0.000 6.125
Cs Sr Sn
1 3 1
Direct
0.000 0.000 0.000
0.000 0.000 0.500
0.000 0.500 0.000
0.500 0.000 0.000
0.500 0.500 0.500
```

calculated formation energy: 881 meV per atom
energy relative to the lowest polymorph listed for this composition: 1.045 eV/atom
space group: No. 221
calculated total energy: -1.10 eV per atom

# 3
VASP calculation (PBE-GGA) on crystalline Th8PdSe4S3 at its relaxed geometry.

Structure (POSCAR):
```
Th8PdSe4S3
1.0
4.117 2.377 6.923
-4.117 2.377 6.923
0.000 -4.754 6.923
Th Pd Se S
8 1 4 3
Direct
0.241 0.748 0.748
0.244 0.244 0.244
0.252 0.252 0.759
0.252 0.759 0.252
0.748 0.241 0.748
0.748 0.748 0.241
0.756 0.756 0.756
0.759 0.252 0.252
0.500 0.500 0.500
0.000 0.000 0.000
0.000 0.500 0.500
0.500 0.000 0.500
0.500 0.500 0.000
0.000 0.000 0.500
0.000 0.500 0.000
0.500 0.000 0.000
```

uncorrected formation energy: -1541 meV/atom
space group: No. 166
calculated total energy: -7.22 eV per atom

# 4
VASP calculation (PBE-GGA) on crystalline PrSmEr3Sc at its relaxed geometry.

Structure (POSCAR):
```
PrSmEr3Sc
1.0
2.495 -7.476 0.000
2.495 7.476 0.000
0.000 0.000 9.953
Pr Sm Er Sc
2 2 6 2
Direct
0.000 0.000 0.000
0.000 0.000 0.500
0.498 0.502 0.750
0.502 0.498 0.250
0.171 0.829 0.750
0.331 0.669 0.000
0.331 0.669 0.500
0.669 0.331 0.000
0.669 0.331 0.500
0.829 0.171 0.250
0.169 0.831 0.250
0.831 0.169 0.750
```

calculated formation energy: 43 meV per atom
space group: No. 63
calculated total energy: -4.88 eV per atom

# 5
VASP calculation (PBE-GGA) on crystalline Nd8Ge3S4 at its relaxed geometry.

Structure (POSCAR):
```
Nd8Ge3S4
1.0
5.875 -5.886 0.000
5.875 5.886 0.000
-5.847 0.000 5.890
Nd Ge S
8 3 4
Direct
0.247 0.247 0.493
0.247 0.247 0.996
0.248 0.752 0.000
0.249 0.751 0.500
0.751 0.249 0.500
0.752 0.248 0.000
0.753 0.753 0.004
0.753 0.753 0.507
0.000 0.500 0.000
0.500 0.000 0.000
0.500 0.500 0.500
0.000 0.000 0.000
0.000 0.000 0.500
0.000 0.500 0.500
0.500 0.000 0.500
```

uncorrected formation energy: -1431 meV/atom
space group: No. 12
calculated total energy: -6.00 eV per atom

# 6
VASP calculation (PBE-GGA) on crystalline TaCrAg2 at its relaxed geometry.

Structure (POSCAR):
```
TaCrAg2
1.0
1.443 0.833 9.628
-1.443 0.833 9.628
0.000 -1.667 9.628
Ta Cr Ag
1 1 2
Direct
0.000 0.000 0.000
0.500 0.500 0.500
0.247 0.247 0.247
0.753 0.753 0.753
```

calculated formation energy: 518 meV per atom
energy relative to the lowest polymorph listed for this composition: 0.209 eV/atom
space group: No. 166
calculated total energy: -6.28 eV per atom

# 7
VASP calculation (PBE-GGA) on crystalline K2PmAlTe4 at its relaxed geometry.

Structure (POSCAR):
```
K2PmAlTe4
1.0
-4.433 4.733 6.555
4.433 -4.733 6.555
4.433 4.733 -6.555
K Pm Al Te
4 2 2 8
Direct
0.000 0.000 0.000
0.500 0.000 0.000
0.500 0.000 0.500
0.500 0.500 0.500
0.000 0.500 0.500
0.500 0.500 0.000
0.000 0.000 0.500
0.000 0.500 0.000
0.194 0.743 0.451
0.208 0.257 0.951
0.228 0.243 0.515
0.228 0.713 0.985
0.772 0.287 0.015
0.772 0.757 0.485
0.792 0.743 0.049
0.806 0.257 0.549
```

uncorrected formation energy: -943 meV/atom
space group: No. 74
calculated total energy: -3.85 eV per atom

# 8
VASP calculation (PBE-GGA) on crystalline CrMoPb2 at its relaxed geometry.

Structure (POSCAR):
```
CrMoPb2
1.0
1.596 0.921 10.209
-1.596 0.921 10.209
0.000 -1.843 10.209
Cr Mo Pb
1 1 2
Direct
0.000 0.000 0.000
0.716 0.716 0.716
0.250 0.250 0.250
0.471 0.471 0.471
```

calculated formation energy: 521 meV per atom
energy relative to the lowest polymorph listed for this composition: 0.140 eV/atom
space group: No. 160
calculated total energy: -6.45 eV per atom

# 9
VASP calculation (PBE-GGA) on crystalline Cu3GeMo at its relaxed geometry.

Structure (POSCAR):
```
Cu3GeMo
1.0
4.685 0.000 0.000
0.000 4.685 0.000
0.000 0.000 4.685
Cu Ge Mo
3 1 1
Direct
0.000 0.000 0.500
0.000 0.500 0.000
0.500 0.000 0.000
0.500 0.500 0.500
0.000 0.000 0.000
```

calculated formation energy: 1525 meV per atom
energy relative to the lowest polymorph listed for this composition: 0.445 eV/atom
space group: No. 221
calculated total energy: -4.02 eV per atom

# 10
VASP calculation (PBE-GGA) on crystalline CaAcMg2Au4 at its relaxed geometry.

Structure (POSCAR):
```
CaAcMg2Au4
1.0
2.373 1.370 9.775
-2.373 1.370 9.775
0.000 -2.740 9.775
Ca Ac Mg Au
1 1 2 4
Direct
0.000 0.000 0.000
0.500 0.500 0.500
0.258 0.258 0.258
0.742 0.742 0.742
0.104 0.104 0.104
0.388 0.388 0.388
0.612 0.612 0.612
0.896 0.896 0.896
```

calculated formation energy: -716 meV per atom
space group: No. 166
calculated total energy: -3.52 eV per atom

# 11
VASP calculation (PBE-GGA) on crystalline Ni2AgIr at its relaxed geometry.

Structure (POSCAR):
```
Ni2AgIr
1.0
2.703 0.000 0.000
0.000 3.575 0.000
0.000 0.000 5.666
Ni Ag Ir
2 1 1
Direct
0.000 0.000 0.219
0.000 0.000 0.781
0.500 0.500 0.500
0.500 0.500 0.000
```

calculated formation energy: 187 meV per atom
energy relative to the lowest polymorph listed for this composition: 0.052 eV/atom
space group: No. 47
calculated total energy: -5.63 eV per atom

# 12
VASP calculation (PBE-GGA) on crystalline Rb2PdCl4 at its relaxed geometry.

Structure (POSCAR):
```
Rb2PdCl4
1.0
7.358 0.000 0.000
0.000 7.358 0.000
0.000 0.000 4.432
Rb Pd Cl
2 1 4
Direct
0.000 0.500 0.000
0.500 0.000 0.000
0.000 0.000 0.500
0.225 0.225 0.500
0.225 0.775 0.500
0.775 0.225 0.500
0.775 0.775 0.500
```

uncorrected formation energy: -1382 meV/atom
energy relative to the lowest polymorph listed for this composition: 0.000 eV/atom
space group: No. 123
calculated total energy: -3.46 eV per atom

# 13
VASP calculation (PBE-GGA) on crystalline SrSbCl2 at its relaxed geometry.

Structure (POSCAR):
```
SrSbCl2
1.0
3.986 0.000 0.000
0.000 3.986 0.000
0.000 0.000 7.212
Sr Sb Cl
1 1 2
Direct
0.000 0.000 0.000
0.500 0.500 0.651
0.000 0.000 0.399
0.500 0.500 0.100
```

uncorrected formation energy: -1075 meV/atom
energy relative to the lowest polymorph listed for this composition: 0.256 eV/atom
space group: No. 99
calculated total energy: -3.45 eV per atom

# 14
VASP calculation (PBE-GGA) on crystalline NbInNi4 at its relaxed geometry.

Structure (POSCAR):
```
NbInNi4
1.0
0.000 3.422 3.422
3.422 0.000 3.422
3.422 3.422 0.000
Nb In Ni
1 1 4
Direct
0.000 0.000 0.000
0.250 0.250 0.250
0.124 0.625 0.625
0.625 0.124 0.625
0.625 0.625 0.124
0.625 0.625 0.625
```

calculated formation energy: -169 meV per atom
energy relative to the lowest polymorph listed for this composition: 0.034 eV/atom
space group: No. 216
calculated total energy: -6.16 eV per atom

# 15
VASP calculation (PBE-GGA) on crystalline Pm2TlPb2 at its relaxed geometry.

Structure (POSCAR):
```
Pm2TlPb2
1.0
2.296 -7.807 0.000
2.296 7.807 0.000
0.000 0.000 4.595
Pm Tl Pb
2 1 2
Direct
0.150 0.850 0.000
0.850 0.150 0.000
0.500 0.500 0.000
0.328 0.672 0.500
0.672 0.328 0.500
```

calculated formation energy: -324 meV per atom
energy relative to the lowest polymorph listed for this composition: 0.000 eV/atom
space group: No. 65
calculated total energy: -4.18 eV per atom

# 16
VASP calculation (PBE-GGA) on crystalline Ag3OsCl9 at its relaxed geometry.

Structure (POSCAR):
```
Ag3OsCl9
1.0
9.002 -3.945 0.000
9.002 3.945 0.000
-7.652 0.000 11.891
Ag Os Cl
6 2 18
Direct
0.028 0.972 0.500
0.173 0.582 0.624
0.337 0.696 0.255
0.582 0.173 0.124
0.696 0.337 0.755
0.972 0.028 0.000
0.517 0.852 0.162
0.852 0.517 0.662
0.026 0.645 0.785
0.119 0.216 0.690
0.139 0.981 0.389
0.216 0.119 0.190
0.285 0.448 0.168
0.380 0.681 0.043
0.448 0.285 0.668
0.458 0.936 0.014
0.573 0.768 0.315
0.585 0.811 0.637
0.645 0.026 0.285
0.681 0.380 0.543
0.768 0.573 0.815
0.811 0.585 0.137
0.887 0.938 0.081
0.936 0.458 0.514
0.938 0.887 0.581
0.981 0.139 0.889
```

uncorrected formation energy: -380 meV/atom
space group: No. 9
calculated total energy: -3.18 eV per atom

# 17
VASP calculation (PBE-GGA) on crystalline CoCuBr2 at its relaxed geometry.

Structure (POSCAR):
```
CoCuBr2
1.0
-1.741 1.794 7.438
1.741 -1.794 7.438
1.741 1.794 -7.438
Co Cu Br
1 1 2
Direct
0.000 0.000 0.000
0.121 0.621 0.500
0.438 0.438 0.000
0.668 0.168 0.500
```

uncorrected formation energy: 200 meV/atom
energy relative to the lowest polymorph listed for this composition: 0.232 eV/atom
space group: No. 44
calculated total energy: -3.44 eV per atom

# 18
VASP calculation (PBE-GGA) on crystalline VTcAs at its relaxed geometry.

Structure (POSCAR):
```
VTcAs
1.0
4.219 0.000 0.000
-2.110 3.654 0.000
0.000 0.000 2.855
V Tc As
1 1 1
Direct
0.000 0.000 0.000
0.667 0.333 0.500
0.333 0.667 0.500
```

calculated formation energy: -122 meV per atom
energy relative to the lowest polymorph listed for this composition: 0.125 eV/atom
space group: No. 187
calculated total energy: -8.17 eV per atom

# 19
VASP calculation (PBE-GGA) on crystalline Te2MoPtN at its relaxed geometry.

Structure (POSCAR):
```
Te2MoPtN
1.0
5.531 0.000 0.000
0.000 5.531 0.000
0.000 0.000 3.679
Te Mo Pt N
2 1 1 1
Direct
0.000 0.500 0.000
0.500 0.000 0.000
0.000 0.000 0.500
0.500 0.500 0.000
0.500 0.500 0.500
```

uncorrected formation energy: 885 meV/atom
energy relative to the lowest polymorph listed for this composition: 0.381 eV/atom
space group: No. 123
calculated total energy: -5.41 eV per atom

# 20
VASP calculation (PBE-GGA) on crystalline Tl2PPb2 at its relaxed geometry.

Structure (POSCAR):
```
Tl2PPb2
1.0
6.485 0.000 0.000
0.000 11.603 0.000
0.000 0.000 4.003
Tl P Pb
4 2 4
Direct
0.189 0.175 0.000
0.311 0.675 0.000
0.689 0.325 0.000
0.811 0.825 0.000
0.000 0.500 0.000
0.500 0.000 0.000
0.228 0.910 0.500
0.272 0.410 0.500
0.728 0.590 0.500
0.772 0.090 0.500
```

calculated formation energy: 85 meV per atom
energy relative to the lowest polymorph listed for this composition: 0.000 eV/atom
space group: No. 55
calculated total energy: -3.43 eV per atom